# 1
DFT (PBE) results for crystalline Mg2ZnPb at its relaxed geometry.

Computed properties:
Total DFT energy (no corrections) ... -16.30 eV/cell

a b c (Å): 5.4305 5.4583 6.8469
angles (deg): 87.33 86.38 66.49
Space group P1 (No. 1)
Symmetry-distinct sites (fractional):
1 Mg 0.0000 0.0000 0.0000
2 Mg 0.0078 0.4783 0.7167
3 Mg 0.4977 0.4953 0.9731
4 Mg 0.6191 0.2543 0.4777
5 Zn 0.4886 0.9931 0.1805
6 Zn 0.5381 0.9919 0.8182
7 Pb 0.2405 0.8719 0.5377
8 Pb 0.9864 0.4976 0.2246

***

# 2
DFT (PBE) results for crystalline RbO2F2 at its relaxed geometry.

Computed properties:
Energy relative to the lowest polymorph listed for this composition ... 1522.1 meV/atom
E_form (uncorrected) ... 381 meV/atom

a b c (Å): 5.7539 5.7539 4.8058
angles (deg): 90.00 90.00 90.00
Space group P4/mmm (No. 123)
Symmetry-distinct sites (fractional):
1 Rb 0.0000 0.0000 0.0000
2 O 0.0000 0.5000 0.0000
3 F 0.0000 0.0000 0.5000
4 F 0.5000 0.5000 0.5000

***

# 3
DFT (PBE) results for crystalline DyEr2Tm at its relaxed geometry.

Computed properties:
Energy relative to the lowest polymorph listed for this composition ... 135.8 meV/atom

a b c (Å): 7.9131 7.9131 7.9131
angles (deg): 90.00 90.00 90.00
Space group Fm-3m (No. 225)
Symmetry-distinct sites (fractional):
1 Dy 0.0000 0.0000 0.0000
2 Er 0.2500 0.2500 0.2500
3 Tm 0.0000 0.0000 0.5000

***

# 4
DFT (PBE) results for crystalline AcNiPbAu at its relaxed geometry.

Computed properties:
Total DFT energy (no corrections) ... -72.02 eV/cell

a b c (Å): 7.3144 7.3144 7.3144
angles (deg): 90.00 90.00 90.00
Space group F-43m (No. 216)
Symmetry-distinct sites (fractional):
1 Ac 0.0000 0.0000 0.0000
2 Ni 0.2500 0.2500 0.7500
3 Pb 0.0000 0.0000 0.5000
4 Au 0.2500 0.2500 0.2500

***

# 5
DFT (PBE) results for crystalline TbNd2Th3 at its relaxed geometry.

Computed properties:
Total DFT energy (no corrections) ... -140.98 eV/cell

a b c (Å): 10.3184 11.4503 6.7957
angles (deg): 90.00 90.00 90.00
Space group Cmcm (No. 63)
Symmetry-distinct sites (fractional):
1 Tb 0.0000 0.2292 0.2500
2 Nd 0.1671 0.2697 0.7500
3 Th 0.0000 0.5000 0.0000
4 Th 0.1659 0.0000 0.0000

***

# 6
DFT (PBE) results for crystalline Ac2Sm3Pd2 at its relaxed geometry.

Computed properties:
Total DFT energy (no corrections) ... -72.14 eV/cell

a b c (Å): 12.7661 3.9601 9.4877
angles (deg): 90.00 115.23 90.00
Space group C2/m (No. 12)
Symmetry-distinct sites (fractional):
1 Ac 0.1568 0.0000 0.3032
2 Sm 0.0000 0.5000 0.5000
3 Sm 0.1178 0.5000 0.9348
4 Pd 0.1583 0.0000 0.7334

***

# 7
DFT (PBE) results for crystalline LiB3I at its relaxed geometry.

Computed properties:
Energy relative to the lowest polymorph listed for this composition ... 289.4 meV/atom
E_form (uncorrected) ... 2439 meV/atom

a b c (Å): 4.5077 4.5077 4.5077
angles (deg): 90.00 90.00 90.00
Space group Pm-3m (No. 221)
Symmetry-distinct sites (fractional):
1 Li 0.0000 0.0000 0.0000
2 B 0.0000 0.5000 0.5000
3 I 0.5000 0.5000 0.5000

***

# 8
DFT (PBE) results for crystalline Tb6Er3Tl at its relaxed geometry.

Computed properties:
Energy relative to the lowest polymorph listed for this composition ... 16.5 meV/atom

a b c (Å): 9.6745 20.2372 6.2948
angles (deg): 90.00 90.00 90.00
Space group Cmc2_1 (No. 36)
Symmetry-distinct sites (fractional):
1 Tb 0.0000 0.0170 0.0000
2 Tb 0.0000 0.2866 0.0274
3 Tb 0.1819 0.2830 0.4723
4 Tb 0.1825 0.4445 0.2565
5 Er 0.0000 0.4131 0.7292
6 Er 0.1699 0.1263 0.3265
7 Tl 0.0000 0.1529 0.7620

***

# 9
DFT (PBE) results for crystalline Ce2PrOs at its relaxed geometry.

Computed properties:
Energy relative to the lowest polymorph listed for this composition ... 0.0 meV/atom

a b c (Å): 14.6051 9.4490 6.2946
angles (deg): 90.00 90.00 90.00
Space group Pnma (No. 62)
Symmetry-distinct sites (fractional):
1 Ce 0.0367 0.0586 0.2414
2 Ce 0.2128 0.5623 0.9352
3 Pr 0.1040 0.2500 0.7265
4 Pr 0.1421 0.7500 0.4605
5 Os 0.0729 0.7500 0.9799
6 Os 0.1758 0.2500 0.2229

***

# 10
DFT (PBE) results for crystalline LiAc2Ga4Rh3 at its relaxed geometry.

Computed properties:
Total DFT energy (no corrections) ... -51.02 eV/cell

a b c (Å): 4.4646 4.4646 10.1519
angles (deg): 90.00 90.00 90.00
Space group P-4m2 (No. 115)
Symmetry-distinct sites (fractional):
1 Li 0.0000 0.0000 0.0000
2 Ac 0.0000 0.5000 0.7528
3 Ga 0.0000 0.0000 0.5000
4 Ga 0.0000 0.5000 0.1213
5 Ga 0.5000 0.5000 0.5000
6 Rh 0.0000 0.5000 0.3734
7 Rh 0.5000 0.5000 0.0000

***

# 11
DFT (PBE) results for crystalline BeFe2Br at its relaxed geometry.

Computed properties:
Energy relative to the lowest polymorph listed for this composition ... 25.5 meV/atom
E_form (uncorrected) ... 286 meV/atom

a b c (Å): 3.1606 3.0888 6.2191
angles (deg): 90.00 90.00 90.00
Space group Pm (No. 6)
Symmetry-distinct sites (fractional):
1 Be 0.0000 0.0000 0.0000
2 Fe 0.9999 0.0000 0.3547
3 Fe 0.4999 0.5000 0.1697
4 Br 0.0017 0.5000 0.7340

***

# 12
DFT (PBE) results for crystalline CoAgAs2Br at its relaxed geometry.

Computed properties:
Energy relative to the lowest polymorph listed for this composition ... 912.3 meV/atom
E_form (uncorrected) ... 1253 meV/atom

a b c (Å): 5.0137 5.0137 5.3049
angles (deg): 90.00 90.00 90.00
Space group P4/mmm (No. 123)
Symmetry-distinct sites (fractional):
1 Co 0.0000 0.0000 0.0000
2 Ag 0.5000 0.5000 0.5000
3 As 0.0000 0.5000 0.5000
4 Br 0.5000 0.5000 0.0000